[1]
## Co2NiBr (PBE)

Data for a relaxed structure of Co2NiBr.

The space group is P4mm (No. 99) and the conventional cell measures 3.088, 3.088 and 5.964 Å, with angles of 90.00, 90.00 and 90.00 degrees. The asymmetric unit holds Co at (0.000, 0.000, 0.000), Co at (0.500, 0.500, 0.192), Ni at (0.000, 0.000, 0.404) and Br at (0.500, 0.500, 0.685).

The value obtained for the formation energy (no corrections) is 494 meV per atom. The calculation puts the total magnetic moment at 4.54 μB per cell. Its energy above the lowest structure with this stoichiometry is 93 meV/atom. Its density is 7.49 g cm⁻³.



[2]
## NaHPd (PBE)

Data for a relaxed structure of NaHPd.

The space group is I4mm (No. 107) and the conventional cell measures 2.967, 2.967 and 10.439 Å, with angles of 90.00, 90.00 and 90.00 degrees. The asymmetric unit holds Na at (0.000, 0.000, 0.000), H at (0.000, 0.000, 0.558) and Pd at (0.000, 0.000, 0.716).

The calculation puts the energy at -0.116 Ha/atom. The calculation puts the total magnetic moment at 0.00 μB per cell. Its density is 4.71 g cm⁻³.